DFT (PBE+U) results for an optimized crystal structure of Ca2YAsW2O12.

```
Ca2YAsW2O12
1.0
-3.813 -0.353 3.520
1.997 -4.486 1.713
10.653 11.125 8.814
O As Ca W Y
24 2 4 4 2
Direct
0.593 0.474 0.608
0.015 0.134 0.608
0.489 0.115 0.713
0.866 0.407 0.392
0.012 0.911 0.446
0.786 0.762 0.946
0.384 0.343 0.108
0.847 0.239 0.213
0.161 0.184 0.946
0.365 0.974 0.213
0.464 0.988 0.554
0.403 0.511 0.287
0.724 0.765 0.108
0.238 0.839 0.054
0.816 0.214 0.054
0.657 0.276 0.892
0.761 0.635 0.787
0.434 0.536 0.446
0.235 0.616 0.892
0.089 0.566 0.554
0.526 0.985 0.392
0.885 0.776 0.287
0.026 0.153 0.787
0.224 0.597 0.713
0.250 0.750 0.500
0.000 0.000 0.000
0.087 0.587 0.175
0.837 0.837 0.675
0.163 0.163 0.325
0.413 0.913 0.825
0.676 0.676 0.352
0.926 0.426 0.852
0.574 0.074 0.148
0.324 0.324 0.648
0.750 0.250 0.500
0.500 0.500 0.000
```

Values from the calculation:
Crystal system = tetragonal
Raw total energy = -266.289 eV/cell